Record 1
Computed, not measured: MoAsBr2 after structural relaxation at the GGA-PBE level of DFT.

symmetry: Cm
energy above the most stable polymorph in this dataset: 0.000 eV per atom
V: 27.61 A^3/atom

a b c (Å): 4.819 4.819 7.877
angles (deg): 72.88 72.88 39.46
Fractional positions:
Br (0.998, 0.998, 0.100)
Mo (0.471, 0.471, 0.375)
As (0.182, 0.182, 0.375)
Br (0.849, 0.849, 0.650)

***

Record 2
Computed, not measured: Mg6Cd2Rh after structural relaxation at the GGA-PBE level of DFT.

symmetry: P-62m
energy above the most stable polymorph in this dataset: 0.000 eV per atom
V: 20.51 A^3/atom
formation energy from the elements: -0.22 eV/atom

a b c (Å): 3.275 8.070 8.067
angles (deg): 120.01 90.00 90.00
Fractional positions:
Mg (0.000, 0.000, 0.262)
Cd (0.000, 0.333, 0.667)
Mg (0.500, 0.000, 0.637)
Mg (0.500, 0.363, 0.363)
Mg (0.000, 0.262, 0.000)
Mg (0.000, 0.738, 0.738)
Rh (0.500, 0.000, 0.000)
Mg (0.500, 0.637, 0.000)
Cd (0.000, 0.667, 0.333)

***

Record 3
Computed, not measured: LiTl2Pd4 after structural relaxation at the GGA-PBE level of DFT.

symmetry: I4/mmm
energy above the most stable polymorph in this dataset: 0.000 eV per atom
V: 18.42 A^3/atom
formation energy from the elements: -0.20 eV/atom

a b c (Å): 5.650 5.650 5.650
angles (deg): 91.34 119.23 119.23
Fractional positions:
Pd (0.500, 0.500, 0.500)
Pd (0.500, 0.000, 0.000)
Li (0.000, 0.000, 0.000)
Tl (0.500, 0.500, 0.000)
Tl (0.500, 0.000, 0.500)
Pd (0.000, 0.000, 0.500)
Pd (0.000, 0.500, 0.000)

***

Record 4
Computed, not measured: AcDyB4 after structural relaxation at the GGA-PBE level of DFT.

symmetry: Pbam
V: 15.40 A^3/atom
formation energy from the elements: -0.24 eV/atom

a b c (Å): 3.792 7.975 12.222
angles (deg): 90.00 90.00 90.00
Fractional positions:
B (0.500, 0.539, 0.808)
B (0.500, 0.932, 0.051)
B (0.500, 0.961, 0.308)
Dy (0.000, 0.329, 0.908)
B (0.500, 0.568, 0.551)
B (0.500, 0.432, 0.449)
B (0.500, 0.948, 0.442)
Dy (0.000, 0.829, 0.592)
B (0.500, 0.894, 0.182)
Ac (0.000, 0.334, 0.651)
Ac (0.000, 0.166, 0.151)
Dy (0.000, 0.171, 0.408)
B (0.500, 0.052, 0.558)
B (0.500, 0.068, 0.949)
B (0.500, 0.394, 0.318)
B (0.500, 0.552, 0.942)
Ac (0.000, 0.834, 0.849)
B (0.500, 0.461, 0.192)
B (0.500, 0.039, 0.692)
B (0.500, 0.448, 0.058)
B (0.500, 0.606, 0.682)
Ac (0.000, 0.666, 0.349)
B (0.500, 0.106, 0.818)
Dy (0.000, 0.671, 0.092)

***

Record 5
Computed, not measured: ZnAg6F8 after structural relaxation at the GGA-PBE level of DFT.

symmetry: R-3
E_tot: -51.65 eV for the cell shown
V: 14.64 A^3/atom

a b c (Å): 6.373 6.373 6.373
angles (deg): 69.59 69.59 69.59
Fractional positions:
Ag (0.673, 0.100, 0.507)
F (0.670, 0.952, 0.131)
Ag (0.327, 0.900, 0.493)
F (0.644, 0.644, 0.644)
F (0.048, 0.869, 0.330)
F (0.869, 0.330, 0.048)
F (0.330, 0.048, 0.869)
F (0.952, 0.131, 0.670)
Zn (0.000, 0.000, 0.000)
F (0.356, 0.356, 0.356)
Ag (0.507, 0.673, 0.100)
F (0.131, 0.670, 0.952)
Ag (0.493, 0.327, 0.900)
Ag (0.900, 0.493, 0.327)
Ag (0.100, 0.507, 0.673)

***

Record 6
Computed, not measured: Rb3Tb3VSe8 after structural relaxation at the GGA-PBE level of DFT.

symmetry: R-3m
E_tot: -75.61 eV for the cell shown
V: 31.81 A^3/atom

a b c (Å): 8.198 8.198 9.468
angles (deg): 115.66 90.00 120.00
Last column: magnetic moment on the atom in μB.
Fractional positions:
Se (0.267, 0.535, 0.302)  -0.01
Tb (0.500, 0.500, 0.500)  0.00
Se (0.788, 0.030, 0.318)  -0.04
Se (0.757, 0.970, 0.682)  -0.04
V (0.000, 0.000, 0.500)  1.25
Rb (0.500, 0.500, 0.000)  0.00
Tb (0.000, 0.500, 0.500)  0.00
Rb (0.000, 0.500, 0.000)  0.00
Se (0.788, 0.575, 0.318)  -0.04
Rb (0.000, 0.000, 0.000)  0.00
Tb (0.500, 0.000, 0.500)  0.00
Se (0.212, 0.425, 0.682)  -0.04
Se (0.212, 0.970, 0.682)  -0.04
Se (0.243, 0.030, 0.318)  -0.04
Se (0.733, 0.465, 0.698)  -0.01